No. 1
An optimized crystal structure of Ba2CaBr6, computed with GGA-PBE.

## Properties
**Total magnetic moment**: 0.00 Bohr magnetons per cell
**Theoretical density**: 3.42 Mg/m³
**E_form (uncorrected)**: -19.0 eV per formula unit

Unit cell a=7.3118 b=7.3118 c=14.4142 alpha=90.00 beta=90.00 gamma=90.00
Fractional coordinates of all 18 atoms:
Ba 0.0000 0.0000 0.3336
Ba 0.5000 0.5000 0.8336
Ba 0.5000 0.5000 0.1664
Ba 0.0000 0.0000 0.6664
Ca 0.0000 0.0000 0.0000
Ca 0.5000 0.5000 0.5000
Br 0.3125 0.3125 0.3476
Br 0.6875 0.6875 0.3476
Br 0.1875 0.8125 0.8476
Br 0.8125 0.1875 0.8476
Br 0.1875 0.8125 0.1524
Br 0.8125 0.1875 0.1524
Br 0.3125 0.3125 0.6524
Br 0.6875 0.6875 0.6524
Br 0.2869 0.2869 0.0000
Br 0.7131 0.7131 0.0000
Br 0.2131 0.7869 0.5000
Br 0.7869 0.2131 0.5000

***

No. 2
An optimized crystal structure of Ba3CaBr7, computed with GGA-PBE.

## Properties
**Total magnetic moment**: 1.61 Bohr magnetons per cell
**Theoretical density**: 3.91 Mg/m³
**E_form (uncorrected)**: -22.0 eV per formula unit

Unit cell a=9.2756 b=9.2756 c=11.1137 alpha=90.00 beta=90.00 gamma=115.91
Each line ends with the local moment (μB).
Fractional coordinates of all 22 atoms:
Ba 0.0639 0.5206 0.7500  0.10
Ba 0.0000 0.0000 0.0000  0.01
Ba 0.0000 0.0000 0.5000  0.01
Ba 0.4794 0.9361 0.2500  0.10
Ba 0.5206 0.0639 0.7500  0.10
Ba 0.9361 0.4794 0.2500  0.10
Ca 0.5000 0.5000 0.0000  0.00
Ca 0.5000 0.5000 0.5000  0.00
Br 0.1032 0.8682 0.2500  0.01
Br 0.1318 0.8968 0.7500  0.01
Br 0.1547 0.4115 0.4765  0.00
Br 0.1547 0.4115 0.0235  0.00
Br 0.5885 0.8453 0.9765  0.00
Br 0.5885 0.8453 0.5235  0.00
Br 0.4192 0.4192 0.7500  0.01
Br 0.5808 0.5808 0.2500  0.01
Br 0.4115 0.1547 0.0235  0.00
Br 0.4115 0.1547 0.4765  0.00
Br 0.8453 0.5885 0.9765  0.00
Br 0.8453 0.5885 0.5235  0.00
Br 0.8682 0.1032 0.2500  0.01
Br 0.8968 0.1318 0.7500  0.01

***

No. 3
An optimized crystal structure of Ba2Ca2Br, computed with GGA-PBE.

## Properties
**Total magnetic moment**: 2.11 Bohr magnetons per cell
**Theoretical density**: 2.73 Mg/m³
**E_form (uncorrected)**: -2.0 eV per formula unit

Unit cell a=8.7342 b=8.7342 c=6.9241 alpha=90.00 beta=90.00 gamma=90.00
Each line ends with the local moment (μB).
Fractional coordinates of all 10 atoms:
Ca 0.1491 0.6491 0.5000  0.03
Ca 0.6491 0.8509 0.5000  0.03
Ca 0.8509 0.3509 0.5000  0.03
Ca 0.3509 0.1491 0.5000  0.03
Ba 0.3352 0.8352 0.0000  0.10
Ba 0.8352 0.6648 0.0000  0.09
Ba 0.6648 0.1648 0.0000  0.10
Ba 0.1648 0.3352 0.0000  0.09
Br 0.0000 0.0000 0.0000  0.00
Br 0.5000 0.5000 0.0000  0.00

***

No. 4
An optimized crystal structure of BaCa3Br, computed with GGA-PBE.

## Properties
**Total magnetic moment**: 0.98 Bohr magnetons per cell
**Theoretical density**: 1.46 Mg/m³
**E_form (uncorrected)**: 3.4 eV per formula unit

Unit cell a=7.2666 b=7.2666 c=7.2666 alpha=90.00 beta=90.00 gamma=90.00
Each line ends with the local moment (μB).
Fractional coordinates of all 5 atoms:
Ca 0.0000 0.5000 0.0000  0.08
Ca 0.0000 0.0000 0.5000  0.09
Ca 0.5000 0.0000 0.0000  0.04
Ba 0.0000 0.0000 0.0000  0.13
Br 0.5000 0.5000 0.5000  -0.01

***

No. 5
An optimized crystal structure of BaCaBr4, computed with GGA-PBE.

## Properties
**Total magnetic moment**: 0.00 Bohr magnetons per cell
**Theoretical density**: 3.74 Mg/m³
**E_form (uncorrected)**: -12.4 eV per formula unit

Unit cell a=7.5760 b=7.6790 c=7.6033 alpha=90.00 beta=93.85 gamma=90.00
Fractional coordinates of all 12 atoms:
Ba 0.0000 0.0000 0.0000
Ba 0.5000 0.5000 0.0000
Ca 0.5000 0.0000 0.5000
Ca 0.0000 0.5000 0.5000
Br 0.8738 0.6472 0.1720
Br 0.6262 0.1472 0.8280
Br 0.3017 0.3178 0.3458
Br 0.1983 0.8178 0.6542
Br 0.1262 0.3528 0.8280
Br 0.3738 0.8528 0.1720
Br 0.6983 0.6822 0.6542
Br 0.8017 0.1822 0.3458

***

No. 6
An optimized crystal structure of Ba2Ca2Br, computed with GGA-PBE.

## Properties
**Total magnetic moment**: 1.86 Bohr magnetons per cell
**Theoretical density**: 3.00 Mg/m³
**E_form (uncorrected)**: -1.8 eV per formula unit

Unit cell a=8.3046 b=8.3046 c=6.9885 alpha=90.00 beta=90.00 gamma=90.00
Each line ends with the local moment (μB).
Fractional coordinates of all 10 atoms:
Ca 0.3401 0.8401 0.0000  0.01
Ca 0.8401 0.6599 0.0000  0.01
Ca 0.6599 0.1599 0.0000  0.01
Ca 0.1599 0.3401 0.0000  0.01
Ba 0.1612 0.6612 0.5000  0.12
Ba 0.6612 0.8388 0.5000  0.11
Ba 0.8388 0.3388 0.5000  0.12
Ba 0.3388 0.1612 0.5000  0.11
Br 0.0000 0.0000 0.0000  0.01
Br 0.5000 0.5000 0.0000  0.01